Y2Co2O7 | PBE+U | optimized geometry

Cell lengths 7.001, 7.001, 7.001 Å; angles 60.00, 60.00, 60.00 degrees
Each line ends with the local moment (μB).
Sites, in units of the cell vectors:
Y 0.125 0.625 0.625  0.01
O 0.798 0.202 0.798  0.04
O 0.500 0.500 0.500  0.00
O 0.048 0.048 0.452  0.04
O 0.202 0.202 0.798  0.04
O 0.202 0.798 0.798  0.04
Co 0.625 0.125 0.125  0.81
O 0.452 0.048 0.048  0.04
Co 0.125 0.625 0.125  0.81
O 0.452 0.452 0.048  0.04
O 0.798 0.798 0.202  0.04
O 0.202 0.798 0.202  0.04
Y 0.625 0.625 0.125  0.01
O 0.798 0.202 0.202  0.04
Y 0.625 0.125 0.625  0.01
O 0.452 0.048 0.452  0.04
O 0.048 0.452 0.452  0.04
Co 0.125 0.125 0.125  0.81
Co 0.125 0.125 0.625  0.81
Y 0.625 0.625 0.625  0.01
O 0.750 0.750 0.750  0.00
O 0.048 0.452 0.048  0.04

Values from the calculation:
**DFT total energy**: -7.22 eV/atom
**SG**: Fd-3m (227)
**Spin magnetization**: 2.00 μB/f.u.